Entry 1:
VASP calculation (GGA-PBE) on a relaxed structure of YCuNi2Au.

Crystal system: tetragonal
Magnetization: 0.00 μB/f.u.
E_tot: -4.884 eV/atom
DOS(E_F): 3.74 states/eV per cell
ρ: 8.391 g/cm³

Lattice parameters (Å, degrees): 4.4273 4.4273 4.7127 90.00 90.00 90.00
Sites, in units of the cell vectors:
Y  0.0000  0.0000  0.0000
Cu  0.5000  0.5000  0.5000
Ni  0.0000  0.5000  0.5000
Ni  0.5000  0.0000  0.5000
Au  0.5000  0.5000  0.0000



Entry 2:
VASP calculation (GGA-PBE) on a relaxed structure of DyY3Tl.

Crystal system: orthorhombic
Relative energy among the computed polymorphs: 0 meV/atom
Magnetization: 0.54 μB/f.u.
DOS(E_F): 12.68 states/eV per cell
ρ: 7.101 g/cm³

Lattice parameters (Å, degrees): 12.9010 12.9010 4.8303 90.00 90.00 158.37
Sites, in units of the cell vectors:
Dy  0.1500  0.8500  0.7500
Dy  0.8500  0.1500  0.2500
Y  0.0492  0.9508  0.2500
Y  0.2507  0.7493  0.2500
Y  0.4470  0.5530  0.2500
Y  0.5530  0.4470  0.7500
Y  0.7493  0.2507  0.7500
Y  0.9508  0.0492  0.7500
Tl  0.3479  0.6521  0.7500
Tl  0.6521  0.3479  0.2500



Entry 3:
VASP calculation (GGA-PBE) on a relaxed structure of KAl2Ni.

Crystal system: cubic
Relative energy among the computed polymorphs: 682 meV/atom
Magnetization: 0.00 μB/f.u.
DOS(E_F): 3.10 states/eV per cell
ρ: 3.265 g/cm³

Lattice parameters (Å, degrees): 4.7788 4.7788 4.7788 60.00 60.00 60.00
Sites, in units of the cell vectors:
K  0.0000  0.0000  0.0000
Al  0.5000  0.5000  0.5000
Al  0.7500  0.7500  0.7500
Ni  0.2500  0.2500  0.2500



Entry 4:
VASP calculation (GGA-PBE) on a relaxed structure of K2TcPt.

Crystal system: orthorhombic
Relative energy among the computed polymorphs: 292 meV/atom
Magnetization: 1.52 μB/f.u.
DOS(E_F): 3.19 states/eV per cell
ρ: 5.044 g/cm³

Lattice parameters (Å, degrees): 6.0639 6.0639 6.0639 138.25 122.68 73.38
Sites, in units of the cell vectors:
K  0.0000  0.0000  0.0000
K  0.6911  0.1911  0.5000
Tc  0.3945  0.3945  0.0000
Pt  0.2870  0.7870  0.5000



Entry 5:
VASP calculation (GGA-PBE) on a relaxed structure of AlCoW2.

Crystal system: monoclinic
Magnetization: 0.02 μB/f.u.
E_tot: -9.110 eV/atom
DOS(E_F): 3.48 states/eV per cell
ρ: 13.100 g/cm³

Lattice parameters (Å, degrees): 4.9486 4.9486 2.6925 96.89 96.89 116.42
Sites, in units of the cell vectors:
Al  0.0000  0.0000  0.0000
Co  0.5000  0.5000  0.0000
W  0.0000  0.5000  0.5000
W  0.5000  0.0000  0.5000



Entry 6:
VASP calculation (GGA-PBE) on a relaxed structure of TbPrGeRh.

Crystal system: cubic
Relative energy among the computed polymorphs: 167 meV/atom
Magnetization: 0.00 μB/f.u.
DOS(E_F): 2.58 states/eV per cell
ρ: 8.550 g/cm³

Lattice parameters (Å, degrees): 5.0732 5.0732 5.0732 60.00 60.00 60.00
Sites, in units of the cell vectors:
Tb  0.0000  0.0000  0.0000
Pr  0.5000  0.5000  0.5000
Ge  0.2500  0.2500  0.2500
Rh  0.7500  0.7500  0.7500



Entry 7:
VASP calculation (GGA-PBE) on a relaxed structure of CaTlSeNF.

Crystal system: triclinic
ΔE_f (raw): -1.077 eV/atom
Relative energy among the computed polymorphs: 54 meV/atom
Magnetization: 0.00 μB/f.u.
DOS(E_F): 1.97 states/eV per cell
ρ: 5.203 g/cm³

Lattice parameters (Å, degrees): 3.3879 4.7333 7.4255 73.10 86.72 89.36
Sites, in units of the cell vectors:
Ca  0.0000  0.0000  0.0000
Tl  0.8828  0.7488  0.5156
Se  0.4610  0.4115  0.2286
N  0.4692  0.0270  0.2334
F  0.5225  0.1042  0.8016



Entry 8:
VASP calculation (GGA-PBE) on a relaxed structure of Tm4InRu2Rh.

Crystal system: trigonal
Magnetization: 0.00 μB/f.u.
E_tot: -6.375 eV/atom
DOS(E_F): 4.24 states/eV per cell
ρ: 11.101 g/cm³

Lattice parameters (Å, degrees): 8.4899 8.4899 8.4899 33.26 33.26 33.26
Sites, in units of the cell vectors:
Tm  0.1179  0.1179  0.1179
Tm  0.3705  0.3705  0.3705
Tm  0.6295  0.6295  0.6295
Tm  0.8821  0.8821  0.8821
In  0.5000  0.5000  0.5000
Ru  0.2486  0.2486  0.2486
Ru  0.7514  0.7514  0.7514
Rh  0.0000  0.0000  0.0000



Q: Which value of DOS(E_F) does entry 6 give?
A: 2.58 states/eV per cell